No. 1
First-principles (PBE) data for BeCuW after structural relaxation, as listed in the Alexandria database.

a = 3.999 Å, b = 3.999 Å, c = 3.999 Å
α = 60.00°, β = 60.00°, γ = 60.00°
Atoms (fractional coordinates):
1 Be 0.000 0.000 0.000
2 Cu 0.500 0.500 0.500
3 W 0.750 0.750 0.750

formation enthalpy at 0 K: 1.214 eV/atom
space group: F-43m
distance to the lowest polymorph of the same formula: 1.121 eV/atom

---

No. 2
First-principles (PBE) data for Be3CuW after structural relaxation, as listed in the Alexandria database.

a = 4.303 Å, b = 4.303 Å, c = 4.303 Å
α = 90.00°, β = 90.00°, γ = 90.00°
Atoms (fractional coordinates):
1 Be 0.000 0.500 0.000
2 Be 0.000 0.000 0.500
3 Be 0.500 0.000 0.000
4 Cu 0.500 0.500 0.500
5 W 0.000 0.000 0.000

formation enthalpy at 0 K: 1.651 eV/atom
space group: Pm-3m
distance to the lowest polymorph of the same formula: 0.883 eV/atom

---

No. 3
First-principles (PBE) data for Be2Cu2W after structural relaxation, as listed in the Alexandria database.

a = 6.603 Å, b = 6.603 Å, c = 2.565 Å
α = 90.00°, β = 90.00°, γ = 90.00°
Atoms (fractional coordinates):
1 Be 0.367 0.867 0.000
2 Be 0.867 0.633 0.000
3 Be 0.633 0.133 0.000
4 Be 0.133 0.367 0.000
5 Cu 0.162 0.662 0.500
6 Cu 0.662 0.838 0.500
7 Cu 0.838 0.338 0.500
8 Cu 0.338 0.162 0.500
9 W 0.000 0.000 0.000
10 W 0.500 0.500 0.000

formation enthalpy at 0 K: 0.118 eV/atom
space group: P4/mbm
distance to the lowest polymorph of the same formula: 0.000 eV/atom

---

No. 4
First-principles (PBE) data for BeCuW after structural relaxation, as listed in the Alexandria database.

a = 2.680 Å, b = 2.680 Å, c = 6.228 Å
α = 90.00°, β = 90.00°, γ = 120.00°
Atoms (fractional coordinates):
1 Be 0.000 0.000 0.014
2 Cu 0.333 0.667 0.309
3 W 0.667 0.333 0.677

formation enthalpy at 0 K: 0.333 eV/atom
space group: P3m1
distance to the lowest polymorph of the same formula: 0.239 eV/atom

---

No. 5
First-principles (PBE) data for BeCuW4 after structural relaxation, as listed in the Alexandria database.

a = 5.221 Å, b = 5.221 Å, c = 5.221 Å
α = 60.00°, β = 60.00°, γ = 60.00°
Atoms (fractional coordinates):
1 Be 0.750 0.750 0.750
2 Cu 0.000 0.000 0.000
3 W 0.875 0.375 0.375
4 W 0.375 0.375 0.875
5 W 0.375 0.875 0.375
6 W 0.375 0.375 0.375

formation enthalpy at 0 K: 0.963 eV/atom
space group: F-43m

---

No. 6
First-principles (PBE) data for BeCuW2 after structural relaxation, as listed in the Alexandria database.

a = 4.042 Å, b = 2.744 Å, c = 4.938 Å
α = 79.80°, β = 90.00°, γ = 90.00°
Atoms (fractional coordinates):
1 Be 0.000 0.661 0.496
2 Cu 0.500 0.592 0.742
3 W 0.000 0.009 0.983
4 W 0.500 0.238 0.279

formation enthalpy at 0 K: 0.179 eV/atom
space group: Pm
distance to the lowest polymorph of the same formula: 0.021 eV/atom

---

No. 7
First-principles (PBE) data for BeCuW2 after structural relaxation, as listed in the Alexandria database.

a = 4.208 Å, b = 4.208 Å, c = 4.208 Å
α = 60.00°, β = 60.00°, γ = 60.00°
Atoms (fractional coordinates):
1 Be 0.000 0.000 0.000
2 Cu 0.500 0.500 0.500
3 W 0.250 0.250 0.250
4 W 0.750 0.750 0.750

formation enthalpy at 0 K: 0.464 eV/atom
space group: Fm-3m
distance to the lowest polymorph of the same formula: 0.306 eV/atom

---

No. 8
First-principles (PBE) data for BeCuW after structural relaxation, as listed in the Alexandria database.

a = 3.331 Å, b = 3.863 Å, c = 5.993 Å
α = 90.00°, β = 106.14°, γ = 90.00°
Atoms (fractional coordinates):
1 Be 0.601 0.250 0.202
2 Be 0.399 0.750 0.798
3 W 0.927 0.250 0.854
4 W 0.073 0.750 0.146
5 Cu 0.251 0.250 0.502
6 Cu 0.749 0.750 0.498

formation enthalpy at 0 K: 0.216 eV/atom
space group: Cmcm
distance to the lowest polymorph of the same formula: 0.122 eV/atom

---

No. 9
First-principles (PBE) data for BeCuW2 after structural relaxation, as listed in the Alexandria database.

a = 3.186 Å, b = 3.186 Å, c = 5.477 Å
α = 90.00°, β = 90.00°, γ = 90.00°
Atoms (fractional coordinates):
1 Be 0.000 0.000 0.500
2 Cu 0.500 0.500 0.727
3 W 0.000 0.000 0.014
4 W 0.500 0.500 0.259

formation enthalpy at 0 K: 0.351 eV/atom
space group: P4mm
distance to the lowest polymorph of the same formula: 0.193 eV/atom

---

No. 10
First-principles (PBE) data for Be2Cu2W after structural relaxation, as listed in the Alexandria database.

a = 3.360 Å, b = 3.360 Å, c = 5.419 Å
α = 71.94°, β = 71.94°, γ = 90.00°
Atoms (fractional coordinates):
1 Be 0.401 0.401 0.198
2 Be 0.599 0.599 0.802
3 Cu 0.750 0.250 0.500
4 Cu 0.250 0.750 0.500
5 W 0.000 0.000 0.000

formation enthalpy at 0 K: 0.124 eV/atom
space group: I4/mmm
distance to the lowest polymorph of the same formula: 0.006 eV/atom

---

No. 11
First-principles (PBE) data for BeCuW after structural relaxation, as listed in the Alexandria database.

a = 3.806 Å, b = 3.806 Å, c = 3.806 Å
α = 60.00°, β = 60.00°, γ = 60.00°
Atoms (fractional coordinates):
1 Be 0.750 0.750 0.750
2 Cu 0.000 0.000 0.000
3 W 0.500 0.500 0.500

formation enthalpy at 0 K: 0.712 eV/atom
space group: F-43m
distance to the lowest polymorph of the same formula: 0.619 eV/atom

---

No. 12
First-principles (PBE) data for BeCuW2 after structural relaxation, as listed in the Alexandria database.

a = 8.847 Å, b = 8.847 Å, c = 8.847 Å
α = 17.69°, β = 17.69°, γ = 17.69°
Atoms (fractional coordinates):
1 Be 0.250 0.250 0.250
2 Cu 0.750 0.750 0.750
3 W 0.997 0.997 0.997
4 W 0.503 0.503 0.503

formation enthalpy at 0 K: 0.442 eV/atom
space group: R-3m
distance to the lowest polymorph of the same formula: 0.284 eV/atom